Compound: Cs2HfSbO6
Source: Alexandria
Functional: PBE-GGA
Structure: optimized geometry

calculated total energy = -6.3931 eV/atom
crystal system = cubic
magnetization = 1.1 μB/f.u.
V = 149 Å³/cell

abc: 5.9564 5.9564 5.9564
angles: 60.00 60.00 60.00
With the nearest neighbours (Å) after each atom.
Fractional positions:
Cs: 0.2500 0.2500 0.2500  12 O 2.98
Cs: 0.7500 0.7500 0.7500  12 O 2.98
Hf: 0.0000 0.0000 0.0000  6 O 2.14
Sb: 0.5000 0.5000 0.5000  6 O 2.07
O: 0.2545 0.2545 0.7455  1 Sb 2.07, 1 Hf 2.14
O: 0.2545 0.7455 0.2545  1 Sb 2.07, 1 Hf 2.14
O: 0.2545 0.7455 0.7455  1 Sb 2.07, 1 Hf 2.14
O: 0.7455 0.2545 0.2545  1 Sb 2.07, 1 Hf 2.14
O: 0.7455 0.2545 0.7455  1 Sb 2.07, 1 Hf 2.14
O: 0.7455 0.7455 0.2545  1 Sb 2.07, 1 Hf 2.14

Compound: CsHfSe2O8
Source: Alexandria
Functional: PBE-GGA
Structure: optimized geometry

calculated total energy = -6.2572 eV/atom
crystal system = monoclinic
magnetization = 0.0 μB/f.u.
V = 236 Å³/cell

abc: 5.3991 5.3991 8.9357
angles: 93.40 93.40 65.05
With the nearest neighbours (Å) after each atom.
Fractional positions:
Cs: 0.0000 0.0000 0.0000  10 O 3.22-3.53
Hf: 0.0000 0.0000 0.5000  6 O 2.06-2.09
Se: 0.3704 0.3704 0.6890  4 O 1.65-1.77
Se: 0.6296 0.6296 0.3110  4 O 1.65-1.77
O: 0.2183 0.7285 0.6673  1 Se 1.77
O: 0.2244 0.2244 0.5533  1 Se 1.74
O: 0.2715 0.7817 0.3327  1 Se 1.77
O: 0.3172 0.3172 0.8621  1 Se 1.65
O: 0.6828 0.6828 0.1379  1 Se 1.65
O: 0.7285 0.2183 0.6673  1 Se 1.77
O: 0.7756 0.7756 0.4467  1 Se 1.74
O: 0.7817 0.2715 0.3327  1 Se 1.77

Compound: CsHf2SnO
Source: Alexandria
Functional: PBE-GGA
Structure: optimized geometry

calculated total energy = -4.6451 eV/atom
crystal system = tetragonal
magnetization = 1.0 μB/f.u.
V = 223 Å³/cell

abc: 5.3641 5.3641 7.7353
angles: 90.00 90.00 90.00
With the nearest neighbours (Å) after each atom.
Fractional positions:
Cs: 0.0000 0.0000 0.0000  4 O 3.79, 2 Sn 3.87
Hf: 0.0000 0.5000 0.5000  2 Sn 2.68
Hf: 0.5000 0.0000 0.5000  2 Sn 2.68
Sn: 0.0000 0.0000 0.5000  4 Hf 2.68
O: 0.5000 0.5000 0.0000  4 Cs 3.79

Compound: CsHfTa2O8
Source: Alexandria
Functional: PBE-GGA
Structure: optimized geometry

calculated total energy = -8.8468 eV/atom
crystal system = trigonal
magnetization = 1.1 μB/f.u.
V = 260 Å³/cell

abc: 5.9941 5.9941 8.3503
angles: 90.00 90.00 120.00
With the nearest neighbours (Å) after each atom.
Fractional positions:
Cs: 0.0000 0.0000 0.0000  12 O 3.39-3.50
Hf: 0.0000 0.0000 0.5000  6 O 2.07
Ta: 0.3333 0.6667 0.7152  4 O 1.83-1.88
Ta: 0.6667 0.3333 0.2848  4 O 1.83-1.88
O: 0.1603 0.3226 0.6465  1 Ta 1.88, 1 Hf 2.07
O: 0.1623 0.8397 0.6465  1 Ta 1.88, 1 Hf 2.07
O: 0.3226 0.1623 0.3535  1 Ta 1.88, 1 Hf 2.07
O: 0.3333 0.6667 0.9343  1 Ta 1.83
O: 0.6667 0.3333 0.0657  1 Ta 1.83
O: 0.6774 0.8377 0.6465  1 Ta 1.88, 1 Hf 2.07
O: 0.8377 0.1603 0.3535  1 Ta 1.88, 1 Hf 2.07
O: 0.8397 0.6774 0.3535  1 Ta 1.88, 1 Hf 2.07

Compound: CsHf2TaO8
Source: Alexandria
Functional: PBE-GGA
Structure: optimized geometry

calculated total energy = -8.5996 eV/atom
crystal system = monoclinic
magnetization = 0.0 μB/f.u.
V = 177 Å³/cell

abc: 4.8372 4.8372 7.6378
angles: 94.98 94.98 87.67
With the nearest neighbours (Å) after each atom.
Fractional positions:
Cs: 0.0000 0.0000 0.0000  6 O 2.80-2.82
Hf: 0.4807 0.4807 0.7052  4 O 1.99-2.14
Hf: 0.5193 0.5193 0.2948  4 O 1.99-2.14
Ta: 0.0000 0.0000 0.5000  6 O 1.98-2.08
O: 0.1646 0.7492 0.3142  1 Ta 1.98, 1 Hf 2.02
O: 0.2508 0.8354 0.6858  1 Ta 1.98, 1 Hf 2.02
O: 0.2960 0.2960 0.4860  1 Hf 1.99, 1 Ta 2.08
O: 0.3949 0.3949 0.9648  1 O 1.50
O: 0.6051 0.6051 0.0352  1 O 1.50
O: 0.7040 0.7040 0.5140  1 Hf 1.99, 1 Ta 2.08
O: 0.7492 0.1646 0.3142  1 Ta 1.98, 1 Hf 2.02
O: 0.8354 0.2508 0.6858  1 Ta 1.98, 1 Hf 2.02

Compound: Cs2HfTaO6
Source: Alexandria
Functional: PBE-GGA
Structure: optimized geometry

calculated total energy = -7.7735 eV/atom
crystal system = trigonal
magnetization = 1.1 μB/f.u.
V = 334 Å³/cell

abc: 10.5614 10.5614 10.5614
angles: 34.32 34.32 34.32
With the nearest neighbours (Å) after each atom.
Fractional positions:
Cs: 0.1308 0.1308 0.1308  12 O 3.14-3.27
Cs: 0.2806 0.2806 0.2806  12 O 2.95-3.28
Cs: 0.7194 0.7194 0.7194  12 O 2.95-3.28
Cs: 0.8692 0.8692 0.8692  12 O 3.14-3.27
Hf: 0.4005 0.4005 0.4005  6 O 2.07-2.20
Hf: 0.5995 0.5995 0.5995  6 O 2.07-2.20
Ta: 0.0000 0.0000 0.0000  6 O 2.05
Ta: 0.5000 0.5000 0.5000  6 O 2.00
O: 0.1803 0.5926 0.5926  1 Ta 2.00, 1 Hf 2.20
O: 0.1971 0.1971 0.7182  1 Ta 2.05, 1 Hf 2.07
O: 0.1971 0.7182 0.1971  1 Ta 2.05, 1 Hf 2.07
O: 0.2818 0.8029 0.8029  1 Ta 2.05, 1 Hf 2.07
O: 0.4074 0.4074 0.8197  1 Ta 2.00, 1 Hf 2.20
O: 0.4074 0.8197 0.4074  1 Ta 2.00, 1 Hf 2.20
O: 0.5926 0.1803 0.5926  1 Ta 2.00, 1 Hf 2.20
O: 0.5926 0.5926 0.1803  1 Ta 2.00, 1 Hf 2.20
O: 0.7182 0.1971 0.1971  1 Ta 2.05, 1 Hf 2.07
O: 0.8029 0.2818 0.8029  1 Ta 2.05, 1 Hf 2.07
O: 0.8029 0.8029 0.2818  1 Ta 2.05, 1 Hf 2.07
O: 0.8197 0.4074 0.4074  1 Ta 2.00, 1 Hf 2.20

Compound: CsHfTcO6
Source: Alexandria
Functional: PBE-GGA
Structure: optimized geometry

calculated total energy = -7.7321 eV/atom
crystal system = trigonal
magnetization = 0.0 μB/f.u.
V = 169 Å³/cell

abc: 5.4329 5.4329 6.6196
angles: 90.00 90.00 120.00
With the nearest neighbours (Å) after each atom.
Fractional positions:
Cs: 0.0000 0.0000 0.0000  6 O 3.10-3.15
Hf: 0.3333 0.6667 0.4757  6 O 2.03-2.14
Tc: 0.6667 0.3333 0.5094  6 O 1.87-1.95
O: 0.4215 0.0199 0.6660  1 Tc 1.87
O: 0.4258 0.3982 0.3242  1 Tc 1.95, 1 Hf 2.03
O: 0.5984 0.5785 0.6660  1 Tc 1.87
O: 0.6018 0.0277 0.3242  1 Tc 1.95, 1 Hf 2.03
O: 0.9723 0.5742 0.3242  1 Tc 1.95, 1 Hf 2.03
O: 0.9801 0.4016 0.6660  1 Tc 1.87

Compound: Cs2HfTeO6
Source: Alexandria
Functional: PBE-GGA
Structure: optimized geometry

calculated total energy = -6.3861 eV/atom
crystal system = trigonal
magnetization = 0.0 μB/f.u.
V = 327 Å³/cell

abc: 10.4161 10.4161 10.4161
angles: 34.68 34.68 34.68
With the nearest neighbours (Å) after each atom.
Fractional positions:
Cs: 0.1326 0.1326 0.1326  12 O 3.11-3.27
Cs: 0.2775 0.2775 0.2775  9 O 2.88-3.15
Cs: 0.7225 0.7225 0.7225  9 O 2.88-3.15
Cs: 0.8674 0.8674 0.8674  12 O 3.11-3.27
Hf: 0.4017 0.4017 0.4017  6 O 2.11-2.17
Hf: 0.5983 0.5983 0.5983  6 O 2.11-2.17
Te: 0.0000 0.0000 0.0000  6 O 2.01
Te: 0.5000 0.5000 0.5000  6 O 1.96
O: 0.1815 0.5932 0.5932  1 Te 1.96, 1 Hf 2.17
O: 0.1942 0.1942 0.7227  1 Te 2.01, 1 Hf 2.11
O: 0.1942 0.7227 0.1942  1 Te 2.01, 1 Hf 2.11
O: 0.2773 0.8058 0.8058  1 Te 2.01, 1 Hf 2.11
O: 0.4068 0.4068 0.8185  1 Te 1.96, 1 Hf 2.17
O: 0.4068 0.8185 0.4068  1 Te 1.96, 1 Hf 2.17
O: 0.5932 0.1815 0.5932  1 Te 1.96, 1 Hf 2.17
O: 0.5932 0.5932 0.1815  1 Te 1.96, 1 Hf 2.17
O: 0.7227 0.1942 0.1942  1 Te 2.01, 1 Hf 2.11
O: 0.8058 0.2773 0.8058  1 Te 2.01, 1 Hf 2.11
O: 0.8058 0.8058 0.2773  1 Te 2.01, 1 Hf 2.11
O: 0.8185 0.4068 0.4068  1 Te 1.96, 1 Hf 2.17

Compound: Cs2HfTiO
Source: Alexandria
Functional: PBE-GGA
Structure: optimized geometry

calculated total energy = -3.4687 eV/atom
crystal system = tetragonal
magnetization = 1.5 μB/f.u.
V = 215 Å³/cell

abc: 6.6920 6.6920 4.8019
angles: 90.00 90.00 90.00
With the nearest neighbours (Å) after each atom.
Fractional positions:
Cs: 0.0000 0.5000 0.0000  2 Hf 3.35
Cs: 0.5000 0.0000 0.0000  2 Hf 3.35
Hf: 0.0000 0.0000 0.0000  2 Ti 2.40
Ti: 0.0000 0.0000 0.5000  2 Hf 2.40
O: 0.5000 0.5000 0.5000  8 Cs 4.12

Compound: CsHfUO6
Source: Alexandria
Functional: PBE-GGA
Structure: optimized geometry

calculated total energy = -8.5763 eV/atom
crystal system = orthorhombic
magnetization = 0.0 μB/f.u.
V = 337 Å³/cell

abc: 7.7896 7.7896 7.7896
angles: 120.87 118.08 90.93
With the nearest neighbours (Å) after each atom.
Fractional positions:
Cs: 0.3627 0.1127 0.2500  6 O 3.28-3.48
Cs: 0.6373 0.8873 0.7500  6 O 3.28-3.48
Hf: 0.0000 0.0000 0.5000  6 O 2.04-2.10
Hf: 0.0000 0.5000 0.0000  6 O 2.04-2.10
U: 0.0000 0.5000 0.5000  6 O 2.03-2.14
U: 0.5000 0.5000 0.0000  6 O 2.03-2.14
O: 0.0583 0.4338 0.2478  1 U 2.03, 1 Hf 2.10
O: 0.0583 0.8105 0.6245  1 U 2.03, 1 Hf 2.10
O: 0.0627 0.8127 0.2500  2 Hf 2.04
O: 0.3140 0.1895 0.7478  1 U 2.03, 1 Hf 2.10
O: 0.3140 0.5662 0.1245  1 U 2.03, 1 Hf 2.10
O: 0.3185 0.5685 0.7500  2 U 2.14
O: 0.6815 0.4315 0.2500  2 U 2.14
O: 0.6860 0.4338 0.8755  1 U 2.03, 1 Hf 2.10
O: 0.6860 0.8105 0.2522  1 U 2.03, 1 Hf 2.10
O: 0.9373 0.1873 0.7500  2 Hf 2.04
O: 0.9417 0.1895 0.3755  1 U 2.03, 1 Hf 2.10
O: 0.9417 0.5662 0.7522  1 U 2.03, 1 Hf 2.10

Compound: Cs2HfU3O12
Source: Alexandria
Functional: PBE-GGA
Structure: optimized geometry

calculated total energy = -8.8820 eV/atom
crystal system = trigonal
magnetization = 0.0 μB/f.u.
V = 343 Å³/cell

abc: 7.7447 7.7447 7.7447
angles: 61.97 61.97 61.97
With the nearest neighbours (Å) after each atom.
Fractional positions:
Cs: 0.1261 0.1261 0.1261  6 O 3.44-3.48
Cs: 0.8739 0.8739 0.8739  6 O 3.44-3.48
Hf: 0.5000 0.5000 0.5000  6 O 2.09
U: 0.0000 0.5000 0.5000  6 O 2.02-2.13
U: 0.5000 0.0000 0.5000  6 O 2.02-2.13
U: 0.5000 0.5000 0.0000  6 O 2.02-2.13
O: 0.1831 0.1831 0.5639  2 U 2.13
O: 0.1831 0.5639 0.1831  2 U 2.13
O: 0.1880 0.5611 0.5611  1 U 2.02, 1 Hf 2.09
O: 0.4361 0.8169 0.8169  2 U 2.13
O: 0.4389 0.4389 0.8120  1 U 2.02, 1 Hf 2.09
O: 0.4389 0.8120 0.4389  1 U 2.02, 1 Hf 2.09
O: 0.5611 0.1880 0.5611  1 U 2.02, 1 Hf 2.09
O: 0.5611 0.5611 0.1880  1 U 2.02, 1 Hf 2.09
O: 0.5639 0.1831 0.1831  2 U 2.13
O: 0.8120 0.4389 0.4389  1 U 2.02, 1 Hf 2.09
O: 0.8169 0.4361 0.8169  2 U 2.13
O: 0.8169 0.8169 0.4361  2 U 2.13

Compound: CsHf2UO8
Source: Alexandria
Functional: PBE-GGA
Structure: optimized geometry

calculated total energy = -8.8304 eV/atom
crystal system = monoclinic
magnetization = 1.1 μB/f.u.
V = 230 Å³/cell

abc: 5.6693 5.6693 8.1096
angles: 106.31 106.31 70.05
With the nearest neighbours (Å) after each atom.
Fractional positions:
Cs: 0.0000 0.0000 0.0000  4 O 2.99
Hf: 0.4471 0.4471 0.7649  5 O 1.97-2.15
Hf: 0.5529 0.5529 0.2351  5 O 1.97-2.15
U: 0.0000 0.0000 0.5000  6 O 2.01-2.14
O: 0.2299 0.2299 0.5941  1 U 2.01, 1 Hf 2.02
O: 0.2316 0.7590 0.3148  1 Hf 1.97, 1 U 2.14
O: 0.2410 0.7684 0.6852  1 Hf 1.97, 1 U 2.14
O: 0.3780 0.3780 0.9801  2 Hf 2.05-2.15, 1 O 2.18
O: 0.6220 0.6220 0.0199  2 Hf 2.05-2.15, 1 O 2.18
O: 0.7590 0.2316 0.3148  1 Hf 1.97, 1 U 2.14
O: 0.7684 0.2410 0.6852  1 Hf 1.97, 1 U 2.14
O: 0.7701 0.7701 0.4059  1 U 2.01, 1 Hf 2.02